[1]
First-principles (PBE-GGA) data for CuAg2I5 after structural relaxation, as listed in Alexandria via LeMat-Bulk.

Results
Magnetic moment (μB/cell): 0.000
DOS at the Fermi energy (states/eV/cell): 3.69
Formation energy (no corrections) (kJ/mol of atoms): -3

Cell lengths 7.738, 7.738, 8.135 Å; angles 121.58, 121.58, 63.42 degrees
Positions (direct):
Cu 0.000 0.000 0.000
Ag 0.433 0.433 0.933
Ag 0.933 0.933 0.434
I 0.163 0.712 0.163
I 0.164 0.713 0.713
I 0.260 0.260 0.261
I 0.712 0.163 0.163
I 0.713 0.164 0.713



[2]
First-principles (PBE-GGA) data for Cu3Ag2I6 after structural relaxation, as listed in Alexandria via LeMat-Bulk.

Results
Magnetic moment (μB/cell): 0.000
DOS at the Fermi energy (states/eV/cell): 17.46
Formation energy (no corrections) (kJ/mol of atoms): -4

Cell lengths 8.019, 8.019, 16.650 Å; angles 104.83, 104.83, 56.13 degrees
Positions (direct):
Cu 0.034 0.966 0.750
Cu 0.265 0.414 0.250
Cu 0.414 0.265 0.750
Cu 0.586 0.735 0.250
Cu 0.735 0.586 0.750
Cu 0.966 0.034 0.250
Ag 0.155 0.658 0.994
Ag 0.342 0.845 0.506
Ag 0.658 0.155 0.494
Ag 0.845 0.342 0.006
I 0.018 0.886 0.600
I 0.114 0.982 0.900
I 0.218 0.351 0.099
I 0.309 0.467 0.402
I 0.351 0.218 0.599
I 0.467 0.309 0.902
I 0.533 0.691 0.098
I 0.649 0.782 0.401
I 0.691 0.533 0.598
I 0.782 0.649 0.901
I 0.886 0.018 0.100
I 0.982 0.114 0.400



Q: DOS at the Fermi energy of number 1 (CuAg2I5)?
A: 3.69 states/eV/cell



Copy entry 1 word for word.
First-principles (PBE-GGA) data for CuAg2I5 after structural relaxation, as listed in Alexandria via LeMat-Bulk.

Results
Magnetic moment (μB/cell): 0.000
DOS at the Fermi energy (states/eV/cell): 3.69
Formation energy (no corrections) (kJ/mol of atoms): -3

Cell lengths 7.738, 7.738, 8.135 Å; angles 121.58, 121.58, 63.42 degrees
Positions (direct):
Cu 0.000 0.000 0.000
Ag 0.433 0.433 0.933
Ag 0.933 0.933 0.434
I 0.163 0.712 0.163
I 0.164 0.713 0.713
I 0.260 0.260 0.261
I 0.712 0.163 0.163
I 0.713 0.164 0.713



What did the second record say?
First-principles (PBE-GGA) data for Cu3Ag2I6 after structural relaxation, as listed in Alexandria via LeMat-Bulk.

Results
Magnetic moment (μB/cell): 0.000
DOS at the Fermi energy (states/eV/cell): 17.46
Formation energy (no corrections) (kJ/mol of atoms): -4

Cell lengths 8.019, 8.019, 16.650 Å; angles 104.83, 104.83, 56.13 degrees
Positions (direct):
Cu 0.034 0.966 0.750
Cu 0.265 0.414 0.250
Cu 0.414 0.265 0.750
Cu 0.586 0.735 0.250
Cu 0.735 0.586 0.750
Cu 0.966 0.034 0.250
Ag 0.155 0.658 0.994
Ag 0.342 0.845 0.506
Ag 0.658 0.155 0.494
Ag 0.845 0.342 0.006
I 0.018 0.886 0.600
I 0.114 0.982 0.900
I 0.218 0.351 0.099
I 0.309 0.467 0.402
I 0.351 0.218 0.599
I 0.467 0.309 0.902
I 0.533 0.691 0.098
I 0.649 0.782 0.401
I 0.691 0.533 0.598
I 0.782 0.649 0.901
I 0.886 0.018 0.100
I 0.982 0.114 0.400